(1)
Compound: KCu2Pt
Source: the Alexandria database
Functional: GGA-PBE
Structure: optimized geometry

Computed properties:
calculated density	8.47	g/cm3
calculated total energy	-0.2427	Ry per atom
density of states at the Fermi level	1.43	states/eV/f.u.
energy of formation from the pure elements	0.530	eV per atom
E above lowest polymorph	0.3675	eV/atom
SG	I-4m2
calculated volume	70.8	Å³/cell

a b c (Å): 5.2108 5.2108 5.2108
angles (deg): 134.53 134.53 66.27
Closest atoms and distances in Å follow each position.
Fractional coordinates of all 4 atoms:
K: 0.0000 0.0000 0.0000  8 Cu 2.85-2.97, 4 Pt 2.97
Cu: 0.5000 0.5000 0.0000  4 K 2.85, 4 Cu 2.97, 4 Pt 2.97
Cu: 0.7500 0.2500 0.5000  4 Pt 2.85, 4 K 2.97, 4 Cu 2.97
Pt: 0.2500 0.7500 0.5000  8 Cu 2.85-2.97, 4 K 2.97

---

(2)
Compound: KCu2Pt
Source: the Alexandria database
Functional: GGA-PBE
Structure: optimized geometry

Computed properties:
calculated density	8.32	g/cm3
calculated total energy	-0.2366	Ry per atom
density of states at the Fermi level	1.17	states/eV/f.u.
energy of formation from the pure elements	0.614	eV per atom
E above lowest polymorph	0.4518	eV/atom
SG	F-43m
calculated volume	72.1	Å³/cell

a b c (Å): 4.6712 4.6712 4.6712
angles (deg): 60.00 60.00 60.00
Closest atoms and distances in Å follow each position.
Fractional coordinates of all 4 atoms:
K: 0.0000 0.0000 0.0000  4 Cu 2.86, 4 Pt 2.86
Cu: 0.5000 0.5000 0.5000  4 Cu 2.86, 4 Pt 2.86
Cu: 0.7500 0.7500 0.7500  4 K 2.86, 4 Cu 2.86
Pt: 0.2500 0.2500 0.2500  4 K 2.86, 4 Cu 2.86

---

(3)
Compound: KCuPt2
Source: the Alexandria database
Functional: GGA-PBE
Structure: optimized geometry

Computed properties:
calculated density	11.61	g/cm3
calculated total energy	-0.2963	Ry per atom
density of states at the Fermi level	2.14	states/eV/f.u.
energy of formation from the pure elements	0.287	eV per atom
E above lowest polymorph	0.2114	eV/atom
SG	Pmmm
calculated volume	70.5	Å³/cell

a b c (Å): 2.7923 4.9647 5.0829
angles (deg): 90.00 90.00 90.00
Closest atoms and distances in Å follow each position.
Fractional coordinates of all 4 atoms:
K: 0.0000 0.0000 0.0000  2 K 2.79, 4 Cu 2.85, 4 Pt 2.90
Cu: 0.5000 0.5000 0.0000  2 Cu 2.79, 4 K 2.85, 4 Pt 2.90
Pt: 0.0000 0.5000 0.5000  6 Pt 2.79-2.85, 4 Cu 2.90
Pt: 0.5000 0.0000 0.5000  6 Pt 2.79-2.85, 4 K 2.90

---

(4)
Compound: KCuPt2
Source: the Alexandria database
Functional: GGA-PBE
Structure: optimized geometry

Computed properties:
calculated density	7.83	g/cm3
calculated total energy	-0.3021	Ry per atom
density of states at the Fermi level	1.09	states/eV/f.u.
energy of formation from the pure elements	0.208	eV per atom
E above lowest polymorph	0.1325	eV/atom
SG	I-42d
calculated volume	209.0	Å³/cell

a b c (Å): 9.2715 9.2715 9.2715
angles (deg): 149.15 149.15 44.20
Closest atoms and distances in Å follow each position.
Fractional coordinates of all 8 atoms:
K: 0.0000 0.0000 0.0000  8 Pt 3.31-3.69, 4 Cu 3.49
K: 0.7500 0.2500 0.5000  8 Pt 3.31-3.69, 4 Cu 3.49
Cu: 0.2500 0.7500 0.5000  4 Pt 2.49
Cu: 0.5000 0.5000 0.0000  4 Pt 2.49
Pt: 0.3193 0.1250 0.6943  2 Cu 2.49, 2 Pt 2.53
Pt: 0.3750 0.6807 0.8057  2 Cu 2.49, 2 Pt 2.53
Pt: 0.4307 0.6250 0.3057  2 Cu 2.49, 2 Pt 2.53
Pt: 0.8750 0.5693 0.1943  2 Cu 2.49, 2 Pt 2.53

---

(5)
Compound: KCuPt2
Source: the Alexandria database
Functional: GGA-PBE
Structure: optimized geometry

Computed properties:
calculated density	11.45	g/cm3
calculated total energy	-0.3059	Ry per atom
density of states at the Fermi level	2.71	states/eV/f.u.
energy of formation from the pure elements	0.157	eV per atom
E above lowest polymorph	0.0809	eV/atom
SG	Immm
calculated volume	71.4	Å³/cell

a b c (Å): 5.8686 5.8686 5.8686
angles (deg): 152.62 129.30 58.57
Closest atoms and distances in Å follow each position.
Fractional coordinates of all 4 atoms:
K: 0.0000 0.0000 0.0000  2 K 2.78, 4 Cu 2.87
Cu: 0.5000 0.5000 0.0000  4 Pt 2.63, 2 Cu 2.78, 4 K 2.87
Pt: 0.2818 0.7818 0.5000  2 Cu 2.63, 6 Pt 2.78-2.94
Pt: 0.7182 0.2182 0.5000  2 Cu 2.63, 6 Pt 2.78-2.94

---

(6)
Compound: KCuPt
Source: the Alexandria database
Functional: GGA-PBE
Structure: optimized geometry

Computed properties:
calculated density	7.42	g/cm3
calculated total energy	-0.2741	Ry per atom
density of states at the Fermi level	1.58	states/eV/f.u.
energy of formation from the pure elements	0.015	eV per atom
E above lowest polymorph	0.0424	eV/atom
SG	Imm2
calculated volume	66.7	Å³/cell

a b c (Å): 6.1912 6.1912 6.1912
angles (deg): 153.48 140.85 47.91
Closest atoms and distances in Å follow each position.
Fractional coordinates of all 3 atoms:
K: 0.0000 0.0000 0.0000  2 K 2.84, 1 Cu 2.98, 1 Pt 3.10
Cu: 0.2638 0.2638 0.0000  4 Pt 2.55, 2 Cu 2.84
Pt: 0.7256 0.7256 0.0000  4 Cu 2.55, 2 Pt 2.84

---

(7)
Compound: KCu3Pt
Source: the Alexandria database
Functional: GGA-PBE
Structure: optimized geometry

Computed properties:
calculated density	7.20	g/cm3
calculated total energy	-0.1529	Ry per atom
density of states at the Fermi level	1.44	states/eV/f.u.
energy of formation from the pure elements	1.805	eV per atom
E above lowest polymorph	1.4103	eV/atom
SG	Pm-3m
calculated volume	98.0	Å³/cell

a b c (Å): 4.6107 4.6107 4.6107
angles (deg): 90.00 90.00 90.00
Closest atoms and distances in Å follow each position.
Fractional coordinates of all 5 atoms:
K: 0.0000 0.0000 0.0000  6 Cu 2.31
Cu: 0.0000 0.0000 0.5000  2 K 2.31
Cu: 0.0000 0.5000 0.0000  2 K 2.31
Cu: 0.5000 0.0000 0.0000  2 K 2.31
Pt: 0.5000 0.5000 0.5000  12 Cu 3.26

---

(8)
Compound: KCuPt2
Source: the Alexandria database
Functional: GGA-PBE
Structure: optimized geometry

Computed properties:
calculated density	11.94	g/cm3
calculated total energy	-0.3108	Ry per atom
density of states at the Fermi level	0.77	states/eV/f.u.
energy of formation from the pure elements	0.091	eV per atom
E above lowest polymorph	0.0148	eV/atom
SG	R-3m
calculated volume	68.5	Å³/cell

a b c (Å): 9.8778 9.8778 9.8778
angles (deg): 16.59 16.59 16.59
Closest atoms and distances in Å follow each position.
Fractional coordinates of all 4 atoms:
K: 0.0000 0.0000 0.0000  6 K 2.85
Cu: 0.5000 0.5000 0.5000  6 Pt 2.66, 6 Cu 2.85
Pt: 0.2383 0.2383 0.2383  3 Cu 2.66, 6 Pt 2.85
Pt: 0.7617 0.7617 0.7617  3 Cu 2.66, 6 Pt 2.85

---

(9)
Compound: KCuPt2
Source: the Alexandria database
Functional: GGA-PBE
Structure: optimized geometry

Computed properties:
calculated density	11.44	g/cm3
calculated total energy	-0.2875	Ry per atom
density of states at the Fermi level	1.93	states/eV/f.u.
energy of formation from the pure elements	0.408	eV per atom
E above lowest polymorph	0.3319	eV/atom
SG	P4/mmm
calculated volume	71.5	Å³/cell

a b c (Å): 4.0121 4.0121 4.4437
angles (deg): 90.00 90.00 90.00
Closest atoms and distances in Å follow each position.
Fractional coordinates of all 4 atoms:
K: 0.0000 0.0000 0.0000  4 Cu 2.84, 8 Pt 2.99
Cu: 0.5000 0.5000 0.0000  4 K 2.84, 8 Pt 2.99
Pt: 0.0000 0.5000 0.5000  4 Pt 2.84, 4 K 2.99, 4 Cu 2.99
Pt: 0.5000 0.0000 0.5000  4 Pt 2.84, 4 K 2.99, 4 Cu 2.99

---

(10)
Compound: KCuPt2
Source: the Alexandria database
Functional: GGA-PBE
Structure: optimized geometry

Computed properties:
calculated density	11.31	g/cm3
calculated total energy	-0.2840	Ry per atom
density of states at the Fermi level	2.45	states/eV/f.u.
energy of formation from the pure elements	0.455	eV per atom
E above lowest polymorph	0.3786	eV/atom
SG	I4/mmm
calculated volume	72.4	Å³/cell

a b c (Å): 5.3057 5.3057 5.3057
angles (deg): 135.49 135.49 64.76
Closest atoms and distances in Å follow each position.
Fractional coordinates of all 4 atoms:
K: 0.0000 0.0000 0.0000  4 Cu 2.84, 8 Pt 3.01
Cu: 0.5000 0.5000 0.0000  4 K 2.84, 8 Pt 3.01
Pt: 0.2500 0.7500 0.5000  4 Pt 2.84, 4 K 3.01, 4 Cu 3.01
Pt: 0.7500 0.2500 0.5000  4 Pt 2.84, 4 K 3.01, 4 Cu 3.01